An optimized crystal structure of Pm8Nd2Dy3. Source: Alexandria, functional GGA-PBE.

Cell lengths 7.7059, 5.6978, 11.0605 Å; angles 90.00, 110.36, 90.00 degrees
Element x y z (fractional)
Pm (0.1023, 0.0000, 0.2916)
Pm (0.1687, 0.5000, 0.8375)
Pm (0.3104, 0.0000, 0.7083)
Pm (0.3697, 0.5000, 0.2397)
Pm (0.6303, 0.5000, 0.7603)
Pm (0.6896, 0.0000, 0.2917)
Pm (0.8313, 0.5000, 0.1625)
Pm (0.8977, 0.0000, 0.7084)
Nd (0.2599, 0.0000, 0.0191)
Nd (0.7401, 0.0000, 0.9809)
Dy (0.2143, 0.5000, 0.5000)
Dy (0.5000, 0.0000, 0.5000)
Dy (0.7857, 0.5000, 0.5000)

D(E_F) = 20.6 states/eV/f.u.
polymorph energy (0 for the lowest one) = 2.51 eV/f.u.
formation enthalpy at 0 K = 0.209 eV/atom
space group = P2/m